1.
Here is a relaxed structure of In2As from Alexandria via LeMat-Bulk. Energies are from PBE.

For the size of the total moment, the calculation gives 0.0 μB/f.u. The value obtained for the final energy is -3.376 eV/atom. The value obtained for the formation energy is -1 meV per atom.

Cell: 4.203 5.824 7.045 Å, 90.00 90.00 90.00°
Sites, in units of the cell vectors:
In (0.000, 0.202, 0.626)
In (0.500, 0.298, 0.126)
In (0.000, 0.798, 0.374)
In (0.500, 0.702, 0.874)
As (0.000, 0.000, 0.000)
As (0.500, 0.500, 0.500)

2.
Here is a relaxed structure of InAs2 from Alexandria via LeMat-Bulk. Energies are from PBE.

For the size of the total moment, the calculation gives 0.0 μB/f.u. The value obtained for the final energy is -3.884 eV/atom. The value obtained for the formation energy is 129 meV per atom.

Cell: 6.304 6.304 6.304 Å, 147.93 147.93 45.98°
Sites, in units of the cell vectors:
As (0.203, 0.203, 0.000)
As (0.797, 0.797, 0.000)
In (0.500, 0.500, 0.000)

3.
Here is a relaxed structure of InAs from Alexandria via LeMat-Bulk. Energies are from PBE.

For the size of the total moment, the calculation gives 0.0 μB/f.u. The value obtained for the final energy is -3.595 eV/atom. The value obtained for the formation energy is 99 meV per atom.

Cell: 4.183 3.815 6.402 Å, 90.00 90.00 90.00°
Sites, in units of the cell vectors:
As (0.000, 0.000, 0.915)
As (0.500, 0.500, 0.918)
In (0.000, 0.500, 0.275)
In (0.500, 0.000, 0.558)

4.
Here is a relaxed structure of InAs from Alexandria via LeMat-Bulk. Energies are from PBE.

For the size of the total moment, the calculation gives 0.0 μB/f.u. The value obtained for the final energy is -3.935 eV/atom. The value obtained for the formation energy is -241 meV per atom.

Cell: 4.371 4.371 4.371 Å, 60.00 60.00 60.00°
Sites, in units of the cell vectors:
In (0.750, 0.750, 0.750)
As (0.000, 0.000, 0.000)

5.
Here is a relaxed structure of InAs from Alexandria via LeMat-Bulk. Energies are from PBE.

For the size of the total moment, the calculation gives 0.0 μB/f.u. The value obtained for the final energy is -3.733 eV/atom. The value obtained for the formation energy is -39 meV per atom.

Cell: 4.063 4.063 4.063 Å, 60.00 60.00 60.00°
Sites, in units of the cell vectors:
As (0.000, 0.000, 0.000)
In (0.500, 0.500, 0.500)

6.
Here is a relaxed structure of In3As from Alexandria via LeMat-Bulk. Energies are from PBE.

For the size of the total moment, the calculation gives 0.0 μB/f.u. The value obtained for the final energy is -3.123 eV/atom. The value obtained for the formation energy is 93 meV per atom. The relative energy among the computed polymorphs comes out at 82 meV per atom.

Cell: 5.077 5.077 6.816 Å, 85.57 85.57 35.81°
Sites, in units of the cell vectors:
As (0.000, 0.000, 0.000)
In (0.254, 0.254, 0.233)
In (0.746, 0.746, 0.767)
In (0.500, 0.500, 0.500)

7.
Here is a relaxed structure of InAs from Alexandria via LeMat-Bulk. Energies are from PBE.

For the size of the total moment, the calculation gives 0.0 μB/f.u. The value obtained for the final energy is -3.504 eV/atom. The value obtained for the formation energy is 190 meV per atom.

Cell: 3.568 3.568 3.568 Å, 90.00 90.00 90.00°
Sites, in units of the cell vectors:
In (0.500, 0.500, 0.500)
As (0.000, 0.000, 0.000)

8.
Here is a relaxed structure of In3As from Alexandria via LeMat-Bulk. Energies are from PBE.

For the size of the total moment, the calculation gives 0.0 μB/f.u. The value obtained for the final energy is -3.156 eV/atom. The value obtained for the formation energy is 60 meV per atom. The relative energy among the computed polymorphs comes out at 49 meV per atom.

Cell: 6.786 6.786 5.126 Å, 90.00 90.00 120.00°
Sites, in units of the cell vectors:
As (0.667, 0.333, 0.750)
As (0.333, 0.667, 0.250)
In (0.829, 0.657, 0.250)
In (0.829, 0.171, 0.250)
In (0.171, 0.829, 0.750)
In (0.171, 0.343, 0.750)
In (0.343, 0.171, 0.250)
In (0.657, 0.829, 0.750)

9.
Here is a relaxed structure of InAs from Alexandria via LeMat-Bulk. Energies are from PBE.

For the size of the total moment, the calculation gives 0.0 μB/f.u. The value obtained for the final energy is -3.796 eV/atom. The value obtained for the formation energy is -102 meV per atom.

Cell: 11.372 11.372 4.380 Å, 90.00 90.00 90.00°
Sites, in units of the cell vectors:
In (0.294, 0.881, 0.500)
In (0.794, 0.381, 0.000)
In (0.881, 0.706, 0.500)
In (0.381, 0.206, 0.000)
In (0.119, 0.294, 0.500)
In (0.619, 0.794, 0.000)
In (0.206, 0.619, 0.000)
In (0.706, 0.119, 0.500)
As (0.386, 0.780, 0.000)
As (0.280, 0.114, 0.500)
As (0.114, 0.720, 0.500)
As (0.614, 0.220, 0.000)
As (0.886, 0.280, 0.500)
As (0.780, 0.614, 0.000)
As (0.720, 0.886, 0.500)
As (0.220, 0.386, 0.000)

10.
Here is a relaxed structure of InAs2 from Alexandria via LeMat-Bulk. Energies are from PBE.

For the size of the total moment, the calculation gives 0.0 μB/f.u. The value obtained for the final energy is -3.923 eV/atom. The value obtained for the formation energy is 89 meV per atom.

Cell: 5.800 5.800 9.301 Å, 64.66 64.66 35.39°
Sites, in units of the cell vectors:
As (0.326, 0.326, 0.006)
As (0.223, 0.223, 0.603)
As (0.674, 0.674, 0.994)
As (0.777, 0.777, 0.397)
In (0.931, 0.931, 0.690)
In (0.069, 0.069, 0.310)

11.
Here is a relaxed structure of InAs from Alexandria via LeMat-Bulk. Energies are from PBE.

For the size of the total moment, the calculation gives 0.0 μB/f.u. The value obtained for the final energy is -3.656 eV/atom. The value obtained for the formation energy is 38 meV per atom.

Cell: 6.621 6.621 3.940 Å, 90.00 90.00 145.51°
Sites, in units of the cell vectors:
As (0.610, 0.390, 0.750)
As (0.390, 0.610, 0.250)
In (0.840, 0.160, 0.750)
In (0.160, 0.840, 0.250)

12.
Here is a relaxed structure of InAs from Alexandria via LeMat-Bulk. Energies are from PBE.

For the size of the total moment, the calculation gives 0.0 μB/f.u. The value obtained for the final energy is -3.428 eV/atom. The value obtained for the formation energy is 266 meV per atom.

Cell: 3.133 3.133 5.425 Å, 90.00 90.00 120.00°
Sites, in units of the cell vectors:
In (0.667, 0.333, 0.500)
As (0.000, 0.000, 0.000)

> What is the formula in the third record?

InAs